# 1
! Tm7Al2Sn2 PBE relaxed; values from VASP
! Magnetic moment (μB/cell): 0.00
! DOS at the Fermi energy (states/eV per atom): 1.087
! Final energy (eV/atom): -4.386
! ΔE_f (kJ/mol of atoms): -13
&SYSTEM
  ibrav = 0, nat = 11, ntyp = 3
/
ATOMIC_SPECIES
Tm 168.93 Tm.upf
Al 26.98 Al.upf
Sn 118.71 Sn.upf
CELL_PARAMETERS angstrom
6.558 -0.003 -0.905
0.004 7.647 0.003
-1.312 -0.002 6.489
ATOMIC_POSITIONS crystal
Tm 0.500 0.280 0.500
Tm 0.000 0.000 0.000
Tm 0.500 0.720 0.500
Tm 0.000 0.708 0.500
Tm 0.000 0.292 0.500
Tm 0.500 0.708 0.000
Tm 0.500 0.292 0.000
Al 0.830 0.500 0.830
Al 0.170 0.500 0.170
Sn 0.701 0.000 0.299
Sn 0.299 0.000 0.701



# 2
! SrGd2Lu PBE relaxed; values from VASP
! Excess energy over the best structure of this formula in the dataset (eV/f.u.): 0.00
! Magnetic moment (μB/cell): 15.62
! DOS at the Fermi energy (states/eV per atom): 1.765
! Final energy (eV/atom): -8.484
! ΔE_f (kJ/mol of atoms): 10
&SYSTEM
  ibrav = 0, nat = 4, ntyp = 3
/
ATOMIC_SPECIES
Gd 157.25 Gd.upf
Sr 87.62 Sr.upf
Lu 174.97 Lu.upf
CELL_PARAMETERS angstrom
3.713 0.000 0.000
0.000 3.713 0.000
0.000 0.000 10.396
ATOMIC_POSITIONS crystal
Gd 0.000 0.000 0.785
Gd 0.000 0.000 0.215
Sr 0.500 0.500 0.500
Lu 0.500 0.500 0.000